Entry from the Alexandria database: a geometry-optimized MgHgH2 structure (GGA-PBEsol).

Summary:
electronic total energy	-1.86	eV per atom
symmetry	Fm-3m
total magnetic moment	0.00	Bohr magnetons per cell

Geometry as CIF:
```
data_MgHgH2
_chemical_formula_sum 'Mg1 Hg1 H2'
_space_group_name_H-M_alt 'P 1'
_space_group_IT_number 1
_cell_length_a 4.113
_cell_length_b 4.113
_cell_length_c 4.113
_cell_angle_alpha 60.00
_cell_angle_beta 60.00
_cell_angle_gamma 60.00
loop_
_space_group_symop_operation_xyz
'x,y,z'
loop_
_atom_site_label
_atom_site_type_symbol
_atom_site_fract_x
_atom_site_fract_y
_atom_site_fract_z
H1 H 0.750 0.750 0.750
Mg1 Mg 0.000 0.000 0.000
H2 H 0.250 0.250 0.250
Hg1 Hg 0.500 0.500 0.500
```

Entry from the Alexandria database: a geometry-optimized Ca3MoPt structure (GGA-PBEsol).

Summary:
symmetry	Pm-3m
energy of formation	0.494	eV/atom
total magnetic moment	4.52	Bohr magnetons per cell

Geometry as CIF:
```
data_Ca3MoPt
_chemical_formula_sum 'Ca3 Mo1 Pt1'
_space_group_name_H-M_alt 'P 1'
_space_group_IT_number 1
_cell_length_a 5.413
_cell_length_b 5.413
_cell_length_c 5.413
_cell_angle_alpha 90.00
_cell_angle_beta 90.00
_cell_angle_gamma 90.00
loop_
_space_group_symop_operation_xyz
'x,y,z'
loop_
_atom_site_label
_atom_site_type_symbol
_atom_site_fract_x
_atom_site_fract_y
_atom_site_fract_z
Mo1 Mo 0.500 0.500 0.500
Ca1 Ca 0.500 0.000 0.000
Ca2 Ca 0.000 0.000 0.500
Ca3 Ca 0.000 0.500 0.000
Pt1 Pt 0.000 0.000 0.000
```

Entry from the Alexandria database: a geometry-optimized CrP2 structure (GGA-PBEsol).

Summary:
symmetry	C2/m
energy of formation	-0.224	eV/atom
total magnetic moment	0.53	Bohr magnetons per cell

Geometry as CIF:
```
data_CrP2
_chemical_formula_sum 'Cr2 P4'
_space_group_name_H-M_alt 'P 1'
_space_group_IT_number 1
_cell_length_a 2.870
_cell_length_b 4.213
_cell_length_c 7.139
_cell_angle_alpha 96.66
_cell_angle_beta 90.00
_cell_angle_gamma 109.91
loop_
_space_group_symop_operation_xyz
'x,y,z'
loop_
_atom_site_label
_atom_site_type_symbol
_atom_site_fract_x
_atom_site_fract_y
_atom_site_fract_z
P1 P 0.348 0.697 0.917
P2 P 0.375 0.750 0.406
P3 P 0.625 0.250 0.594
Cr1 Cr 0.058 0.116 0.826
P4 P 0.652 0.303 0.083
Cr2 Cr 0.942 0.884 0.174
```

Entry from the Alexandria database: a geometry-optimized ScCr2Br structure (GGA-PBEsol).

Summary:
relative energy among the computed polymorphs	0.0	meV/atom
formation energy without anion corrections	0.03	eV per atom
symmetry	Amm2
total magnetic moment	1.34	Bohr magnetons per cell

Geometry as CIF:
```
data_ScCr2Br
_chemical_formula_sum 'Sc1 Cr2 Br1'
_space_group_name_H-M_alt 'P 1'
_space_group_IT_number 1
_cell_length_a 3.073
_cell_length_b 3.095
_cell_length_c 7.330
_cell_angle_alpha 102.17
_cell_angle_beta 90.00
_cell_angle_gamma 90.00
loop_
_space_group_symop_operation_xyz
'x,y,z'
loop_
_atom_site_label
_atom_site_type_symbol
_atom_site_fract_x
_atom_site_fract_y
_atom_site_fract_z
Cr1 Cr 0.000 0.221 0.066
Br1 Br 0.500 0.056 0.738
Cr2 Cr 0.500 0.799 0.222
Sc1 Sc 0.000 0.424 0.473
```

Entry from the Alexandria database: a geometry-optimized SrIr2Se structure (GGA-PBEsol).

Summary:
formation energy without anion corrections	0.28	eV per atom
symmetry	P4/mmm
total magnetic moment	0.00	Bohr magnetons per cell

Geometry as CIF:
```
data_SrIr2Se
_chemical_formula_sum 'Sr1 Ir2 Se1'
_space_group_name_H-M_alt 'P 1'
_space_group_IT_number 1
_cell_length_a 4.063
_cell_length_b 4.063
_cell_length_c 4.375
_cell_angle_alpha 90.00
_cell_angle_beta 90.00
_cell_angle_gamma 90.00
loop_
_space_group_symop_operation_xyz
'x,y,z'
loop_
_atom_site_label
_atom_site_type_symbol
_atom_site_fract_x
_atom_site_fract_y
_atom_site_fract_z
Se1 Se 0.500 0.500 0.500
Ir1 Ir 0.500 0.000 0.000
Sr1 Sr 0.000 0.000 0.500
Ir2 Ir 0.000 0.500 0.000
```

Entry from the Alexandria database: a geometry-optimized ZnBr2 structure (GGA-PBEsol).

Summary:
formation energy without anion corrections	-0.84	eV per atom
symmetry	I4_1/acd
total magnetic moment	0.00	Bohr magnetons per cell

Geometry as CIF:
```
data_ZnBr2
_chemical_formula_sum 'Zn16 Br32'
_space_group_name_H-M_alt 'P 1'
_space_group_IT_number 1
_cell_length_a 11.523
_cell_length_b 11.523
_cell_length_c 13.487
_cell_angle_alpha 115.29
_cell_angle_beta 115.29
_cell_angle_gamma 90.00
loop_
_space_group_symop_operation_xyz
'x,y,z'
loop_
_atom_site_label
_atom_site_type_symbol
_atom_site_fract_x
_atom_site_fract_y
_atom_site_fract_z
Br1 Br 0.006 0.733 0.501
Br2 Br 0.018 0.756 0.001
Br3 Br 0.256 0.517 0.999
Zn1 Zn 0.205 0.687 0.625
Zn2 Zn 0.920 0.187 0.625
Br4 Br 0.605 0.125 0.750
Br5 Br 0.756 0.982 0.999
Br6 Br 0.232 0.994 0.499
Zn3 Zn 0.313 0.580 0.375
Br7 Br 0.105 0.125 0.750
Br8 Br 0.869 0.869 0.738
Br9 Br 0.881 0.381 0.762
Br10 Br 0.767 0.494 0.499
Br11 Br 0.875 0.355 0.250
Zn4 Zn 0.705 0.438 0.625
Br12 Br 0.506 0.268 0.501
Br13 Br 0.983 0.244 0.001
Zn5 Zn 0.045 0.063 0.875
Br14 Br 0.483 0.256 0.001
Br15 Br 0.518 0.744 0.001
Zn6 Zn 0.937 0.170 0.125
Br16 Br 0.744 0.482 0.999
Br17 Br 0.244 0.017 0.999
Zn7 Zn 0.062 0.795 0.375
Zn8 Zn 0.545 0.312 0.875
Br18 Br 0.375 0.895 0.250
Br19 Br 0.875 0.855 0.250
Br20 Br 0.619 0.119 0.238
Br21 Br 0.369 0.369 0.738
Zn9 Zn 0.830 0.812 0.875
Br22 Br 0.375 0.395 0.250
Br23 Br 0.732 0.006 0.499
Zn10 Zn 0.437 0.455 0.125
Br24 Br 0.631 0.631 0.262
Zn11 Zn 0.330 0.563 0.875
Br25 Br 0.994 0.233 0.501
Br26 Br 0.645 0.625 0.750
Zn12 Zn 0.188 0.955 0.125
Br27 Br 0.131 0.131 0.262
Zn13 Zn 0.813 0.295 0.375
Br28 Br 0.145 0.625 0.750
Zn14 Zn 0.420 0.938 0.625
Br29 Br 0.119 0.619 0.238
Zn15 Zn 0.562 0.080 0.375
Br30 Br 0.494 0.768 0.501
Br31 Br 0.267 0.506 0.499
Zn16 Zn 0.688 0.670 0.125
Br32 Br 0.381 0.881 0.762
```